VASP calculation (PBE) on crystalline YCoSe2Br at its relaxed geometry.

Unit cell a=4.8210 b=4.8210 c=4.6525 alpha=90.00 beta=90.00 gamma=90.00
Closest atoms and distances in Å follow each position.
Space group P4/mmm (No. 123)
Asymmetric unit:
Y 0.0000 0.0000 0.0000 (multiplicity 1)  8 Se 3.35, 4 Br 3.41
Co 0.5000 0.5000 0.5000 (multiplicity 1)  2 Br 2.33, 4 Se 2.41
Se 0.0000 0.5000 0.5000 (multiplicity 2)  2 Co 2.41
Br 0.5000 0.5000 0.0000 (multiplicity 1)  2 Co 2.33

## Properties
* energy relative to the elements, uncorrected: -0.5519 eV/atom
* calculated total energy: -4.99 eV per atom
* magnetic moment: 0.063 μB per cell